# LiHfMoO4

An optimized crystal structure of LiHfMoO4 (PBE+U, the Alexandria database).

a = 5.9016 Å, b = 6.4274 Å, c = 9.2111 Å
α = 90.00°, β = 90.00°, γ = 90.00°
Space group Imma (No. 74)
Unique sites:
Li1 0.0000 0.2500 0.1334
Hf1 0.0000 0.0000 0.5000
Mo1 0.2500 0.2500 0.7500
O1 0.0000 0.0054 0.7257
O2 0.2317 0.2500 0.5124

Calculated values
For the size of the total moment, the calculation gives 2.24 μB/f.u. The calculation puts the total energy at -223.47 eV/cell.